# GGA-PBE Zn2Os, optimized geometry
data_Zn2Os
_chemical_formula_sum 'Zn8 Os4'
_symmetry_space_group_name_H-M 'C m c m'
_symmetry_Int_Tables_number 63
_symmetry_space_group_name_Hall '-C 2c 2'
_cell_length_a 4.4262
_cell_length_b 8.8481
_cell_length_c 4.4261
_cell_angle_alpha 90.00
_cell_angle_beta 90.00
_cell_angle_gamma 90.00
loop_
_atom_site_label
_atom_site_type_symbol
_atom_site_fract_x
_atom_site_fract_y
_atom_site_fract_z
Zn1 Zn 0.0000 0.0999 0.2500
Zn2 Zn 0.0000 0.2466 0.7500
Os1 Os 0.0000 0.4345 0.2500
# Calculated formation energy   0.210 eV per atom
# Crystal system   orthorhombic
# Energy   -4.383 eV/atom

# GGA-PBE PRu2Br, optimized geometry
data_PRu2Br
_chemical_formula_sum 'P2 Ru4 Br2'
_symmetry_space_group_name_H-M 'C m m 2'
_symmetry_Int_Tables_number 35
_symmetry_space_group_name_Hall 'C 2 -2'
_cell_length_a 2.8744
_cell_length_b 5.1324
_cell_length_c 9.9602
_cell_angle_alpha 90.00
_cell_angle_beta 90.00
_cell_angle_gamma 90.00
loop_
_atom_site_label
_atom_site_type_symbol
_atom_site_fract_x
_atom_site_fract_y
_atom_site_fract_z
P1 P 0.0000 0.0000 0.0000
Ru1 Ru 0.0000 0.0000 0.4106
Ru2 Ru 0.0000 0.5000 0.1792
Br1 Br 0.0000 0.5000 0.6218
# Crystal system   orthorhombic
# Excess energy over the best structure of this formula in the dataset   2.78 eV per formula unit
# Energy   -5.819 eV/atom